No. 1
An optimized crystal structure of HfZn2Fe, computed with GGA-PBE.

## Properties
As for the space group: Fm-3m. For the formation energy, the calculation gives -0.02 eV per atom. The crystal system is cubic. The magnetization comes out at 2.00 μB per formula unit.

Unit cell a=4.4082 b=4.4082 c=4.4082 alpha=60.00 beta=60.00 gamma=60.00
Atoms (fractional coordinates):
Fe 0.7500 0.7500 0.7500
Hf 0.2500 0.2500 0.2500
Zn 0.0000 0.0000 0.0000
Zn 0.5000 0.5000 0.5000

No. 2
An optimized crystal structure of HfZr2Fe, computed with GGA-PBE.

## Properties
As for the space group: F-43m. For the formation energy, the calculation gives 0.17 eV per atom. The crystal system is cubic. The magnetization comes out at 0.45 μB per formula unit.

Unit cell a=4.7252 b=4.7252 c=4.7252 alpha=60.00 beta=60.00 gamma=60.00
Atoms (fractional coordinates):
Fe 0.5000 0.5000 0.5000
Hf 0.2500 0.2500 0.2500
Zr 0.0000 0.0000 0.0000
Zr 0.7500 0.7500 0.7500

No. 3
An optimized crystal structure of Fe2Hg3, computed with GGA-PBE.

## Properties
As for the space group: R-3c. For the formation energy, the calculation gives 0.50 eV per atom. The crystal system is trigonal. The magnetization comes out at 5.25 μB per formula unit.

Unit cell a=5.8898 b=5.8898 c=7.3561 alpha=113.60 beta=66.40 gamma=120.00
Atoms (fractional coordinates):
Fe 0.3072 0.6928 0.0785
Fe 0.1928 0.8072 0.4215
Fe 0.8072 0.1928 0.5785
Fe 0.6928 0.3072 0.9215
Hg 0.2500 0.1793 0.2500
Hg 0.8207 0.3207 0.2500
Hg 0.6793 0.7500 0.2500
Hg 0.3207 0.2500 0.7500
Hg 0.1793 0.6793 0.7500
Hg 0.7500 0.8207 0.7500

Calculated values (Ry per atom) of energy for the records, taken in order: -0.383, -0.637, -0.221.